No. 1
Density functional theory data (GGA-PBEsol) for a relaxed structure of CaCd4Sb.

Geometry as CIF:
```
data_CaCd4Sb
_chemical_formula_sum 'Ca4 Cd16 Sb4'
_space_group_name_H-M_alt 'F -4 3 m'
_space_group_IT_number 216
_space_group_name_Hall 'F -4 2 3'
_cell_length_a 8.2971
_cell_length_b 8.2971
_cell_length_c 8.2971
_cell_angle_alpha 90.00
_cell_angle_beta 90.00
_cell_angle_gamma 90.00
loop_
_atom_site_label
_atom_site_type_symbol
_atom_site_fract_x
_atom_site_fract_y
_atom_site_fract_z
Ca1 Ca 0.0000 0.0000 0.0000
Cd1 Cd 0.1253 0.1253 0.6253
Sb1 Sb 0.2500 0.2500 0.2500
```

No. 2
Density functional theory data (GGA-PBEsol) for a relaxed structure of CaCdSb2.

Geometry as CIF:
```
data_CaCdSb2
_chemical_formula_sum 'Ca1 Cd1 Sb2'
_space_group_name_H-M_alt 'P 4 m m'
_space_group_IT_number 99
_cell_length_a 4.0982
_cell_length_b 4.0982
_cell_length_c 6.2297
_cell_angle_alpha 90.00
_cell_angle_beta 90.00
_cell_angle_gamma 90.00
loop_
_space_group_symop_operation_xyz
'x,y,z'
'-y,x,z'
'-x,-y,z'
'y,-x,z'
'-x,y,z'
'y,x,z'
'x,-y,z'
'-y,-x,z'
loop_
_atom_site_label
_atom_site_type_symbol
_atom_site_fract_x
_atom_site_fract_y
_atom_site_fract_z
Ca1 Ca 0.0000 0.0000 0.0000
Cd1 Cd 0.5000 0.5000 0.3046
Sb1 Sb 0.0000 0.0000 0.4989
Sb2 Sb 0.5000 0.5000 0.8039
```

No. 3
Density functional theory data (GGA-PBEsol) for a relaxed structure of CaCdSbTe2.

Geometry as CIF:
```
data_CaCdSbTe2
_chemical_formula_sum 'Ca1 Cd1 Sb1 Te2'
_space_group_name_H-M_alt 'P 4/m m m'
_space_group_IT_number 123
_space_group_name_Hall '-P 4 2'
_cell_length_a 5.6364
_cell_length_b 5.6364
_cell_length_c 5.2888
_cell_angle_alpha 90.00
_cell_angle_beta 90.00
_cell_angle_gamma 90.00
loop_
_atom_site_label
_atom_site_type_symbol
_atom_site_fract_x
_atom_site_fract_y
_atom_site_fract_z
Ca1 Ca 0.0000 0.0000 0.0000
Cd1 Cd 0.5000 0.5000 0.5000
Sb1 Sb 0.5000 0.5000 0.0000
Te1 Te 0.0000 0.5000 0.5000
```

No. 4
Density functional theory data (GGA-PBEsol) for a relaxed structure of CaCd2Se.

Geometry as CIF:
```
data_CaCd2Se
_chemical_formula_sum 'Ca4 Cd8 Se4'
_space_group_name_H-M_alt 'F m m m'
_space_group_IT_number 69
_space_group_name_Hall '-F 2 2'
_cell_length_a 5.6830
_cell_length_b 5.7684
_cell_length_c 12.2400
_cell_angle_alpha 90.00
_cell_angle_beta 90.00
_cell_angle_gamma 90.00
loop_
_atom_site_label
_atom_site_type_symbol
_atom_site_fract_x
_atom_site_fract_y
_atom_site_fract_z
Ca1 Ca 0.0000 0.0000 0.0000
Cd1 Cd 0.2500 0.0000 0.2500
Se1 Se 0.0000 0.0000 0.5000
```

No. 5
Density functional theory data (GGA-PBEsol) for a relaxed structure of CaCd2Se.

Geometry as CIF:
```
data_CaCd2Se
_chemical_formula_sum 'Ca1 Cd2 Se1'
_space_group_name_H-M_alt 'P 1 m 1'
_space_group_IT_number 6
_cell_length_a 4.1732
_cell_length_b 3.8383
_cell_length_c 6.4914
_cell_angle_alpha 90.00
_cell_angle_beta 108.64
_cell_angle_gamma 90.00
loop_
_space_group_symop_operation_xyz
'x,y,z'
'x,-y,z'
loop_
_atom_site_label
_atom_site_type_symbol
_atom_site_fract_x
_atom_site_fract_y
_atom_site_fract_z
Ca1 Ca 0.0000 0.0000 0.0000
Cd1 Cd 0.2653 0.0000 0.5288
Cd2 Cd 0.7076 0.5000 0.4134
Se1 Se 0.4722 0.5000 0.9436
```

No. 6
Density functional theory data (GGA-PBEsol) for a relaxed structure of CaCd2Se.

Geometry as CIF:
```
data_CaCd2Se
_chemical_formula_sum 'Ca1 Cd2 Se1'
_space_group_name_H-M_alt 'P 4/m m m'
_space_group_IT_number 123
_space_group_name_Hall '-P 4 2'
_cell_length_a 3.6868
_cell_length_b 3.6868
_cell_length_c 7.0378
_cell_angle_alpha 90.00
_cell_angle_beta 90.00
_cell_angle_gamma 90.00
loop_
_atom_site_label
_atom_site_type_symbol
_atom_site_fract_x
_atom_site_fract_y
_atom_site_fract_z
Ca1 Ca 0.0000 0.0000 0.0000
Cd1 Cd 0.5000 0.5000 0.2875
Se1 Se 0.0000 0.0000 0.5000
```

Number 1: total magnetization 0.0 μB/f.u., formation energy without anion corrections -145 meV per atom. Number 2: total magnetization 0.0 μB/f.u., formation energy without anion corrections -309 meV per atom. Number 3: total magnetization 0.0 μB/f.u., formation energy without anion corrections -4 meV per atom. Number 4: total magnetization 0.0 μB/f.u., formation energy without anion corrections -715 meV per atom. Number 5: total magnetization 0.0 μB/f.u., formation energy without anion corrections -729 meV per atom. Number 6: total magnetization 0.0 μB/f.u., formation energy without anion corrections -381 meV per atom.